(1)
Below is crystalline Ti2VHgC at its relaxed geometry, with properties calculated at the PBE level.

Cell lengths 4.2505, 4.2505, 4.0336 Å; angles 90.00, 90.00, 90.00 degrees
Closest atoms and distances in Å follow each position.
Positions (direct):
Ti  0.0000  0.5000  0.0000  2 C 2.13
Ti  0.5000  0.0000  0.0000  2 C 2.13
V  0.0000  0.0000  0.5000  2 C 2.02
Hg  0.5000  0.5000  0.5000  8 Ti 2.93, 4 V 3.01
C  0.0000  0.0000  0.0000  2 V 2.02, 4 Ti 2.13

## Properties
V, Å³ per atom: 14.575
E_form, kJ per mole of atoms: -35.12
Raw total energy, eV/atom: -7.251
Mass density, g cm⁻³: 8.2

(2)
Below is crystalline Na6Ge2Pt at its relaxed geometry, with properties calculated at the PBE level.

Cell lengths 10.0066, 10.0066, 10.0066 Å; angles 30.07, 30.07, 30.07 degrees
Closest atoms and distances in Å follow each position.
Positions (direct):
Na  0.0821  0.0821  0.0821  3 Ge 3.00, 1 Na 3.23
Na  0.1950  0.1950  0.1950  3 Pt 3.11, 8 Na 3.23-3.41, 3 Ge 3.39
Na  0.3092  0.3092  0.3092  1 Ge 3.06, 7 Na 3.27-3.43
Na  0.6908  0.6908  0.6908  1 Ge 3.06, 7 Na 3.27-3.43
Na  0.8050  0.8050  0.8050  3 Pt 3.11, 8 Na 3.23-3.41, 3 Ge 3.39
Na  0.9179  0.9179  0.9179  3 Ge 3.00, 1 Na 3.23
Ge  0.4162  0.4162  0.4162  1 Pt 2.40
Ge  0.5838  0.5838  0.5838  1 Pt 2.40
Pt  0.5000  0.5000  0.5000  2 Ge 2.40

## Properties
V, Å³ per atom: 24.766
E_form, kJ per mole of atoms: -18.07
Raw total energy, eV/atom: -2.764
Mass density, g cm⁻³: 3.6

(3)
Below is crystalline Li2SbMo at its relaxed geometry, with properties calculated at the PBE level.

Cell lengths 4.8629, 4.8629, 8.2893 Å; angles 102.93, 102.93, 53.14 degrees
Closest atoms and distances in Å follow each position.
Positions (direct):
Li  0.0407  0.0407  0.3194  3 Sb 2.64-2.88, 3 Mo 2.75-2.83, 2 Li 2.91
Li  0.3797  0.3797  0.1103  4 Sb 2.85-2.95, 3 Li 2.91-3.10, 1 Mo 2.94
Li  0.6203  0.6203  0.8897  4 Sb 2.85-2.95, 3 Li 2.91-3.10, 1 Mo 2.94
Li  0.9593  0.9593  0.6806  3 Sb 2.64-2.88, 3 Mo 2.75-2.83, 2 Li 2.91
Sb  0.2729  0.2729  0.7566  7 Li 2.64-2.95, 3 Mo 2.76-2.88
Sb  0.7271  0.7271  0.2434  7 Li 2.64-2.95, 3 Mo 2.76-2.88
Mo  0.3628  0.3628  0.4603  1 Mo 2.31
Mo  0.6372  0.6372  0.5397  1 Mo 2.31

## Properties
Uncorrected formation energy, eV/atom: -0.1537
V, Å³ per atom: 18.980
Raw total energy, eV/atom: -4.849
Mass density, g cm⁻³: 5.1

(4)
Below is crystalline RhW2Se at its relaxed geometry, with properties calculated at the PBE level.

Cell lengths 4.9629, 4.9629, 2.8760 Å; angles 90.00, 90.00, 116.31 degrees
Closest atoms and distances in Å follow each position.
Positions (direct):
Rh  0.0000  0.0000  0.0000  2 Se 2.62, 8 W 2.87, 2 Rh 2.88
W  0.0000  0.5000  0.5000  4 W 2.62-2.88, 4 Se 2.87, 4 Rh 2.87
W  0.5000  0.0000  0.5000  4 W 2.62-2.88, 4 Se 2.87, 4 Rh 2.87
Se  0.5000  0.5000  0.0000  2 Rh 2.62, 8 W 2.87, 2 Se 2.88

## Properties
Uncorrected formation energy, eV/atom: 0.4861
V, Å³ per atom: 15.876
Raw total energy, eV/atom: -8.699
Mass density, g cm⁻³: 14.4

(5)
Below is crystalline In2CoH at its relaxed geometry, with properties calculated at the PBE level.

Cell lengths 5.4559, 5.4559, 5.4559 Å; angles 109.83, 109.83, 108.75 degrees
Closest atoms and distances in Å follow each position.
Positions (direct):
In  0.0702  0.6250  0.9452  2 H 2.14
In  0.3750  0.3202  0.4452  2 H 2.14
In  0.6798  0.1250  0.0548  2 H 2.14
In  0.8750  0.9298  0.5548  2 H 2.14
Co  0.2500  0.7500  0.5000  4 In 2.60
Co  0.5000  0.5000  0.0000  4 In 2.60
H  0.0000  0.0000  0.0000  4 In 2.14
H  0.7500  0.2500  0.5000  4 In 2.14

## Properties
V, Å³ per atom: 15.626
E above lowest polymorph, kcal/mol of atoms: 0.00
Raw total energy, eV/atom: -3.525
Mass density, g cm⁻³: 7.7

(6)
Below is crystalline Dy2ErScSe4 at its relaxed geometry, with properties calculated at the PBE level.

Cell lengths 6.9679, 3.9801, 7.0030 Å; angles 90.00, 108.99, 90.00 degrees
Closest atoms and distances in Å follow each position.
Positions (direct):
Dy  0.0000  0.0000  0.0000  6 Se 2.90
Dy  0.5000  0.5000  0.0000  6 Se 2.86
Er  0.0000  0.5000  0.5000  6 Se 2.83
Sc  0.5000  0.0000  0.5000  6 Se 2.78-2.79
Se  0.2527  0.0000  0.7425  1 Sc 2.79, 2 Er 2.83, 3 Dy 2.86-2.90
Se  0.2589  0.5000  0.2613  2 Sc 2.78, 1 Er 2.83, 3 Dy 2.86-2.90
Se  0.7411  0.5000  0.7387  2 Sc 2.78, 1 Er 2.83, 3 Dy 2.86-2.90
Se  0.7473  0.0000  0.2575  1 Sc 2.79, 2 Er 2.83, 3 Dy 2.86-2.90

## Properties
Uncorrected formation energy, eV/atom: -1.6879
V, Å³ per atom: 22.956
Raw total energy, eV/atom: -5.943
Mass density, g cm⁻³: 7.7

Copy entry 2 word for word.
Below is crystalline Na6Ge2Pt at its relaxed geometry, with properties calculated at the PBE level.

Cell lengths 10.0066, 10.0066, 10.0066 Å; angles 30.07, 30.07, 30.07 degrees
Closest atoms and distances in Å follow each position.
Positions (direct):
Na  0.0821  0.0821  0.0821  3 Ge 3.00, 1 Na 3.23
Na  0.1950  0.1950  0.1950  3 Pt 3.11, 8 Na 3.23-3.41, 3 Ge 3.39
Na  0.3092  0.3092  0.3092  1 Ge 3.06, 7 Na 3.27-3.43
Na  0.6908  0.6908  0.6908  1 Ge 3.06, 7 Na 3.27-3.43
Na  0.8050  0.8050  0.8050  3 Pt 3.11, 8 Na 3.23-3.41, 3 Ge 3.39
Na  0.9179  0.9179  0.9179  3 Ge 3.00, 1 Na 3.23
Ge  0.4162  0.4162  0.4162  1 Pt 2.40
Ge  0.5838  0.5838  0.5838  1 Pt 2.40
Pt  0.5000  0.5000  0.5000  2 Ge 2.40

## Properties
V, Å³ per atom: 24.766
E_form, kJ per mole of atoms: -18.07
Raw total energy, eV/atom: -2.764
Mass density, g cm⁻³: 3.6